[1]
Tb2MnGa | PBE-GGA | relaxed Values from VASP.

Cell and atoms, written as Quantum ESPRESSO input:
```
&SYSTEM
  ibrav = 0, nat = 4, ntyp = 3
/
ATOMIC_SPECIES
Tb 158.93 Tb.upf
Mn 54.94 Mn.upf
Ga 69.72 Ga.upf
CELL_PARAMETERS angstrom
3.560 0.000 0.000
0.000 3.560 0.000
0.000 0.000 7.213
ATOMIC_POSITIONS crystal
Tb 0.000 0.000 0.244
Tb 0.000 0.000 0.756
Mn 0.500 0.500 0.000
Ga 0.500 0.500 0.500
```

Properties
N(E_F) ... 0.979 states/eV/atom
SG ... No. 123
Formation enthalpy at 0 K ... -70.3 kJ/mol of formula units
Calculated total energy ... -0.20383 Ha/atom
Size of the total moment ... 2.8 Bohr magnetons per cell
ρ ... 8.0 g/cm³
Energy above the lowest structure with this stoichiometry ... 0.000 eV per atom

[2]
Na2AlTl | PBE-GGA | relaxed Values from VASP.

Cell and atoms, written as Quantum ESPRESSO input:
```
&SYSTEM
  ibrav = 0, nat = 4, ntyp = 3
/
ATOMIC_SPECIES
Na 22.99 Na.upf
Al 26.98 Al.upf
Tl 204.38 Tl.upf
CELL_PARAMETERS angstrom
4.471 0.000 0.000
0.000 4.471 0.000
0.000 0.000 5.088
ATOMIC_POSITIONS crystal
Na 0.000 0.500 0.000
Na 0.500 0.000 0.000
Al 0.000 0.000 0.500
Tl 0.500 0.500 0.500
```

Properties
N(E_F) ... 0.440 states/eV/atom
SG ... No. 123
Formation enthalpy at 0 K ... 31.6 kJ/mol of formula units
Calculated total energy ... -0.07735 Ha/atom
Size of the total moment ... 0.0 Bohr magnetons per cell
ρ ... 4.5 g/cm³
Energy above the lowest structure with this stoichiometry ... 0.000 eV per atom

[3]
Mg2CdSe | PBE-GGA | relaxed Values from VASP.

Cell and atoms, written as Quantum ESPRESSO input:
```
&SYSTEM
  ibrav = 0, nat = 4, ntyp = 3
/
ATOMIC_SPECIES
Mg 24.30 Mg.upf
Cd 112.41 Cd.upf
Se 78.96 Se.upf
CELL_PARAMETERS angstrom
-1.867 1.959 6.276
1.867 -1.959 6.276
1.867 1.959 -6.276
ATOMIC_POSITIONS crystal
Mg 0.000 0.000 0.000
Mg 0.729 0.229 0.500
Cd 0.411 0.411 0.000
Se 0.169 0.669 0.500
```

Properties
ΔE_f (raw) ... -0.416 eV per atom
N(E_F) ... 0.286 states/eV/atom
SG ... No. 44
Calculated total energy ... -0.08502 Ha/atom
Size of the total moment ... 0.0 Bohr magnetons per cell
ρ ... 4.3 g/cm³
Energy above the lowest structure with this stoichiometry ... 0.074 eV per atom

[4]
La4Hg5 | PBE-GGA | relaxed Values from VASP.

Cell and atoms, written as Quantum ESPRESSO input:
```
&SYSTEM
  ibrav = 0, nat = 18, ntyp = 2
/
ATOMIC_SPECIES
La 138.91 La.upf
Hg 200.59 Hg.upf
CELL_PARAMETERS angstrom
9.521 0.000 0.000
-4.761 8.245 0.000
0.000 0.000 6.822
ATOMIC_POSITIONS crystal
La 0.000 0.000 0.000
La 0.000 0.000 0.500
La 0.000 0.372 0.250
La 0.000 0.628 0.750
La 0.372 0.000 0.250
La 0.372 0.372 0.750
La 0.628 0.000 0.750
La 0.628 0.628 0.250
Hg 0.000 0.300 0.750
Hg 0.000 0.700 0.250
Hg 0.300 0.000 0.750
Hg 0.300 0.300 0.250
Hg 0.333 0.667 0.000
Hg 0.333 0.667 0.500
Hg 0.667 0.333 0.000
Hg 0.667 0.333 0.500
Hg 0.700 0.000 0.250
Hg 0.700 0.700 0.750
```

Properties
N(E_F) ... 1.172 states/eV/atom
SG ... No. 193
Formation enthalpy at 0 K ... -384.9 kJ/mol of formula units
Calculated total energy ... -0.10293 Ha/atom
Size of the total moment ... 0.0 Bohr magnetons per cell
ρ ... 9.7 g/cm³
Energy above the lowest structure with this stoichiometry ... 0.000 eV per atom